Compound: K2NpMnO6
Source: Alexandria via LeMat-Bulk
Functional: GGA+U
Structure: optimized geometry

Summary:
The space group is I4/mmm, No. 139. For the total magnetization, the calculation gives 4.1 μB/cell. The total DFT energy (no corrections) comes out at -73.6 eV/cell.

a = 5.796 Å, b = 5.796 Å, c = 5.796 Å
α = 119.03°, β = 119.03°, γ = 91.68°
Sites, in units of the cell vectors:
K1 0.250 0.750 0.500
K2 0.750 0.250 0.500
Np1 0.000 0.000 0.000
Mn1 0.500 0.500 0.000
O1 0.240 0.240 0.479
O2 0.240 0.760 0.000
O3 0.262 0.262 0.000
O4 0.738 0.738 0.000
O5 0.760 0.240 0.000
O6 0.760 0.760 0.521